# 1
Here is crystalline Ac3SbTe2 at its relaxed geometry from Alexandria via LeMat-Bulk. Energies are from PBE.

The space group is Immm (No. 71) and the conventional cell measures 4.753, 6.713 and 14.307 Å, with angles of 90.00, 90.00 and 90.00 degrees. The distinct sites, in fractional coordinates, are Ac at (0.000, 0.000, 0.000), Ac at (0.000, 0.000, 0.338), Sb at (0.000, 0.500, 0.000) and Te at (0.000, 0.500, 0.332).

The uncorrected formation energy is -1440 meV/atom. The calculated volume is 456 Å³/cell. The value obtained for the total DFT energy (no corrections) is -5.2280 eV/atom.



# 2
Here is crystalline LiSiTe at its relaxed geometry from Alexandria via LeMat-Bulk. Energies are from PBE.

The space group is F-43m (No. 216) and the conventional cell measures 6.352, 6.352 and 6.352 Å, with angles of 90.00, 90.00 and 90.00 degrees. The distinct sites, in fractional coordinates, are Li at (0.000, 0.000, 0.000), Si at (0.250, 0.250, 0.750) and Te at (0.250, 0.250, 0.250).

The uncorrected formation energy is 62 meV/atom. The calculated volume is 256 Å³/cell. The value obtained for the total DFT energy (no corrections) is -3.4311 eV/atom. For the offset from the most stable computed form, the calculation gives 39 meV per atom.



# 3
Here is crystalline PrAl4V at its relaxed geometry from Alexandria via LeMat-Bulk. Energies are from PBE.

The space group is F-43m (No. 216) and the conventional cell measures 7.661, 7.661 and 7.661 Å, with angles of 90.00, 90.00 and 90.00 degrees. The distinct sites, in fractional coordinates, are Pr at (0.000, 0.000, 0.000), Al at (0.124, 0.124, 0.624) and V at (0.250, 0.250, 0.250).

The calculated volume is 450 Å³/cell. The calculation puts the formation energy at -0.8 eV/f.u. The value obtained for the total DFT energy (no corrections) is -4.9434 eV/atom.



# 4
Here is crystalline Ce3Ga2Hg4 at its relaxed geometry from Alexandria via LeMat-Bulk. Energies are from PBE.

The space group is C2/m (No. 12) and the conventional cell measures 11.066, 4.907 and 9.164 Å, with angles of 90.00, 118.35 and 90.00 degrees. The distinct sites, in fractional coordinates, are Ce at (0.000, 0.000, 0.000), Ce at (0.164, 0.500, 0.668), Ga at (0.110, 0.500, 0.277), Hg at (0.077, 0.000, 0.405) and Hg at (0.200, 0.500, 0.040).

The calculated volume is 438 Å³/cell. The calculation puts the formation energy at -3.5 eV/f.u. The value obtained for the total DFT energy (no corrections) is -3.1776 eV/atom.



# 5
Here is crystalline Pm4PAuS2 at its relaxed geometry from Alexandria via LeMat-Bulk. Energies are from PBE.

The space group is P2/m (No. 10) and the conventional cell measures 7.168, 4.083 and 7.169 Å, with angles of 90.00, 108.77 and 90.00 degrees. The distinct sites, in fractional coordinates, are Pm at (0.238, 0.000, 0.236), Pm at (0.248, 0.500, 0.761), P at (0.500, 0.000, 0.000), Au at (0.500, 0.500, 0.500), S at (0.000, 0.000, 0.500) and S at (0.000, 0.500, 0.000).

The uncorrected formation energy is -1579 meV/atom. The calculated volume is 199 Å³/cell. The value obtained for the total DFT energy (no corrections) is -6.0724 eV/atom.



# 6
Here is crystalline Li2AlF4 at its relaxed geometry from Alexandria via LeMat-Bulk. Energies are from PBE.

The space group is I-42m (No. 121) and the conventional cell measures 4.808, 4.808 and 8.798 Å, with angles of 90.00, 90.00 and 90.00 degrees. The distinct sites, in fractional coordinates, are Li at (0.000, 0.500, 0.250), Al at (0.000, 0.000, 0.000) and F at (0.197, 0.197, 0.135).

The uncorrected formation energy is -2718 meV/atom. The calculated volume is 203 Å³/cell. The value obtained for the total DFT energy (no corrections) is -4.8690 eV/atom.



# 7
Here is crystalline ZnCrHg2 at its relaxed geometry from Alexandria via LeMat-Bulk. Energies are from PBE.

The space group is P2/m (No. 10) and the conventional cell measures 3.398, 3.631 and 6.254 Å, with angles of 90.00, 90.21 and 90.00 degrees. The distinct sites, in fractional coordinates, are Zn at (0.000, 0.000, 0.000), Cr at (0.000, 0.000, 0.500) and Hg at (0.500, 0.500, 0.249).

The calculated volume is 77 Å³/cell. The calculation puts the formation energy at 1.3 eV/f.u. The value obtained for the total DFT energy (no corrections) is -2.5619 eV/atom. For the offset from the most stable computed form, the calculation gives 23 meV per atom.



# 8
Here is crystalline CaDyZnIn at its relaxed geometry from Alexandria via LeMat-Bulk. Energies are from PBE.

The space group is F-43m (No. 216) and the conventional cell measures 7.432, 7.432 and 7.432 Å, with angles of 90.00, 90.00 and 90.00 degrees. The distinct sites, in fractional coordinates, are Ca at (0.000, 0.000, 0.000), Dy at (0.000, 0.000, 0.500), Zn at (0.250, 0.250, 0.750) and In at (0.250, 0.250, 0.250).

The calculated volume is 411 Å³/cell. The calculation puts the formation energy at -1.5 eV/f.u. The value obtained for the total DFT energy (no corrections) is -3.0329 eV/atom. For the offset from the most stable computed form, the calculation gives 9 meV per atom.